Record 1
Pa3AlCo9B2, relaxed, DFT PBE; final energy = -0.282 Ha/atom; Fermi-level density of states = 1.051 states/eV per atom
1.0
5.287 0.000 0.000
-2.644 4.579 0.000
0.000 0.000 8.439
Pa Al Co B
3 1 9 2
Direct
0.000 0.000 0.000 Pa
0.333 0.667 0.664 Pa
0.667 0.333 0.336 Pa
0.000 0.000 0.500 Al
0.000 0.500 0.000 Co
0.165 0.330 0.282 Co
0.165 0.835 0.282 Co
0.330 0.165 0.718 Co
0.500 0.000 0.000 Co
0.500 0.500 0.000 Co
0.670 0.835 0.282 Co
0.835 0.165 0.718 Co
0.835 0.670 0.718 Co
0.333 0.667 0.145 B
0.667 0.333 0.855 B

=====

Record 2
Pm2AlCo5B2, relaxed, DFT PBE; final energy = -0.239 Ha/atom; Fermi-level density of states = 0.538 states/eV per atom
1.0
9.218 0.000 0.000
0.000 9.218 0.000
0.000 0.000 3.059
Pm Al Co B
4 2 10 4
Direct
0.179 0.321 0.000 Pm
0.321 0.821 0.000 Pm
0.679 0.179 0.000 Pm
0.821 0.679 0.000 Pm
0.000 0.000 0.000 Al
0.500 0.500 0.000 Al
0.000 0.500 0.500 Co
0.068 0.768 0.500 Co
0.232 0.068 0.500 Co
0.268 0.568 0.500 Co
0.432 0.268 0.500 Co
0.500 0.000 0.500 Co
0.568 0.732 0.500 Co
0.732 0.432 0.500 Co
0.768 0.932 0.500 Co
0.932 0.232 0.500 Co
0.117 0.617 0.000 B
0.383 0.117 0.000 B
0.617 0.883 0.000 B
0.883 0.383 0.000 B

=====

Record 3
RbAl2CoB, relaxed, DFT PBE; final energy = -0.124 Ha/atom; Fermi-level density of states = 0.986 states/eV per atom
1.0
4.170 0.000 0.000
0.000 4.170 0.000
0.000 0.000 5.887
Rb Al Co B
1 2 1 1
Direct
0.000 0.000 0.000 Rb
0.000 0.500 0.500 Al
0.500 0.000 0.500 Al
0.500 0.500 0.000 Co
0.000 0.000 0.500 B

=====

Record 4
AlCoB2Sb, relaxed, DFT PBE; ΔE_f (raw) = 0.71 eV/atom; final energy = -0.182 Ha/atom; Fermi-level density of states = 0.499 states/eV per atom
1.0
3.875 0.000 0.000
0.000 3.875 0.000
0.000 0.000 4.887
Al Co B Sb
1 1 2 1
Direct
0.000 0.000 0.000 Al
0.000 0.000 0.500 Co
0.000 0.500 0.500 B
0.500 0.000 0.500 B
0.500 0.500 0.000 Sb

=====

Record 5
ScAl2CoB, relaxed, DFT PBE; final energy = -0.206 Ha/atom; Fermi-level density of states = 0.442 states/eV per atom
1.0
4.272 0.000 0.000
0.000 4.272 0.000
0.000 0.000 3.875
Sc Al Co B
1 2 1 1
Direct
0.000 0.000 0.000 Sc
0.000 0.500 0.500 Al
0.500 0.000 0.500 Al
0.500 0.500 0.000 Co
0.500 0.500 0.500 B

=====

Record 6
ScAlCo2B, relaxed, DFT PBE; final energy = -0.235 Ha/atom; Fermi-level density of states = 0.728 states/eV per atom
1.0
3.976 0.000 0.000
0.000 3.976 0.000
0.000 0.000 4.009
Sc Al Co B
1 1 2 1
Direct
0.000 0.000 0.000 Sc
0.500 0.500 0.000 Al
0.000 0.500 0.500 Co
0.500 0.000 0.500 Co
0.500 0.500 0.500 B

=====

Record 7
Sm2AlCo5B2, relaxed, DFT PBE; final energy = -0.240 Ha/atom; Fermi-level density of states = 0.560 states/eV per atom
1.0
9.186 0.000 0.000
0.000 9.186 0.000
0.000 0.000 3.050
Sm Al Co B
4 2 10 4
Direct
0.179 0.321 0.000 Sm
0.321 0.821 0.000 Sm
0.679 0.179 0.000 Sm
0.821 0.679 0.000 Sm
0.000 0.000 0.000 Al
0.500 0.500 0.000 Al
0.000 0.500 0.500 Co
0.068 0.769 0.500 Co
0.231 0.068 0.500 Co
0.269 0.568 0.500 Co
0.432 0.269 0.500 Co
0.500 0.000 0.500 Co
0.568 0.731 0.500 Co
0.731 0.432 0.500 Co
0.769 0.932 0.500 Co
0.932 0.231 0.500 Co
0.117 0.617 0.000 B
0.383 0.117 0.000 B
0.617 0.883 0.000 B
0.883 0.383 0.000 B

=====

Record 8
Ta2AlCo5B2, relaxed, DFT PBE; final energy = -0.299 Ha/atom; Fermi-level density of states = 0.807 states/eV per atom
1.0
8.557 0.000 0.000
0.000 8.557 0.000
0.000 0.000 3.007
Ta Al Co B
4 2 10 4
Direct
0.177 0.323 0.000 Ta
0.323 0.823 0.000 Ta
0.677 0.177 0.000 Ta
0.823 0.677 0.000 Ta
0.000 0.000 0.000 Al
0.500 0.500 0.000 Al
0.000 0.500 0.500 Co
0.068 0.779 0.500 Co
0.221 0.068 0.500 Co
0.279 0.568 0.500 Co
0.432 0.279 0.500 Co
0.500 0.000 0.500 Co
0.568 0.721 0.500 Co
0.721 0.432 0.500 Co
0.779 0.932 0.500 Co
0.932 0.221 0.500 Co
0.120 0.620 0.000 B
0.380 0.120 0.000 B
0.620 0.880 0.000 B
0.880 0.380 0.000 B

=====

Record 9
Tb2AlCo5B2, relaxed, DFT PBE; final energy = -0.242 Ha/atom; Fermi-level density of states = 0.585 states/eV per atom
1.0
9.082 0.000 0.000
0.000 9.082 0.000
0.000 0.000 3.026
Tb Al Co B
4 2 10 4
Direct
0.178 0.322 0.000 Tb
0.322 0.822 0.000 Tb
0.678 0.178 0.000 Tb
0.822 0.678 0.000 Tb
0.000 0.000 0.000 Al
0.500 0.500 0.000 Al
0.000 0.500 0.500 Co
0.068 0.771 0.500 Co
0.229 0.068 0.500 Co
0.271 0.568 0.500 Co
0.432 0.271 0.500 Co
0.500 0.000 0.500 Co
0.568 0.729 0.500 Co
0.729 0.432 0.500 Co
0.771 0.932 0.500 Co
0.932 0.229 0.500 Co
0.118 0.618 0.000 B
0.382 0.118 0.000 B
0.618 0.882 0.000 B
0.882 0.382 0.000 B

=====

Record 10
Ti2AlCo5B2, relaxed, DFT PBE; final energy = -0.274 Ha/atom; Fermi-level density of states = 0.449 states/eV per atom
1.0
8.449 0.000 0.000
0.000 8.449 0.000
0.000 0.000 2.972
Ti Al Co B
4 2 10 4
Direct
0.176 0.324 0.000 Ti
0.324 0.824 0.000 Ti
0.676 0.176 0.000 Ti
0.824 0.676 0.000 Ti
0.000 0.000 0.000 Al
0.500 0.500 0.000 Al
0.000 0.500 0.500 Co
0.070 0.779 0.500 Co
0.221 0.070 0.500 Co
0.279 0.570 0.500 Co
0.430 0.279 0.500 Co
0.500 0.000 0.500 Co
0.570 0.721 0.500 Co
0.721 0.430 0.500 Co
0.779 0.930 0.500 Co
0.930 0.221 0.500 Co
0.122 0.622 0.000 B
0.378 0.122 0.000 B
0.622 0.878 0.000 B
0.878 0.378 0.000 B

=====

Record 11
U2AlCo5B2, relaxed, DFT PBE; final energy = -0.288 Ha/atom; Fermi-level density of states = 1.230 states/eV per atom
1.0
9.088 0.000 0.000
0.000 9.088 0.000
0.000 0.000 2.992
U Al Co B
4 2 10 4
Direct
0.180 0.320 0.000 U
0.320 0.820 0.000 U
0.680 0.180 0.000 U
0.820 0.680 0.000 U
0.000 0.000 0.000 Al
0.500 0.500 0.000 Al
0.000 0.500 0.500 Co
0.068 0.770 0.500 Co
0.230 0.068 0.500 Co
0.270 0.568 0.500 Co
0.432 0.270 0.500 Co
0.500 0.000 0.500 Co
0.568 0.730 0.500 Co
0.730 0.432 0.500 Co
0.770 0.932 0.500 Co
0.932 0.230 0.500 Co
0.116 0.616 0.000 B
0.384 0.116 0.000 B
0.616 0.884 0.000 B
0.884 0.384 0.000 B

=====

Record 12
Al2CoBW, relaxed, DFT PBE; final energy = -0.238 Ha/atom; Fermi-level density of states = 0.652 states/eV per atom
1.0
4.216 0.000 0.000
0.000 4.216 0.000
0.000 0.000 3.642
Al Co B W
2 1 1 1
Direct
0.000 0.500 0.000 Al
0.500 0.000 0.000 Al
0.000 0.000 0.500 Co
0.000 0.000 0.000 B
0.500 0.500 0.500 W